## Pm4NiN (PBE)

Data for a relaxed structure of Pm4NiN.

a b c (Å): 7.406 7.406 7.406
angles (deg): 106.02 106.02 116.61
Fractional positions:
Pm1 0.152 0.457 0.695
Pm2 0.207 0.012 0.805
Pm3 0.207 0.402 0.195
Pm4 0.296 0.000 0.296
Pm5 0.704 0.000 0.704
Pm6 0.750 0.546 0.796
Pm7 0.750 0.954 0.204
Pm8 0.762 0.457 0.305
Ni1 0.232 0.732 0.500
Ni2 0.482 0.482 0.000
N1 0.715 0.215 0.500
N2 0.965 0.965 0.000

Computed properties:
As for the calculated total energy: -5.978 eV/atom. As for the density of states at the Fermi level: 12.286 states/eV/cell.